Record 1
Below is La2CuGeIr after structural relaxation, with properties calculated at the PBE-GGA level.

Lattice parameters (Å, degrees): 5.617 4.672 5.617 90.00 90.00 90.00
Fractional positions:
1 Ge 0.000 0.500 0.000
2 Ir 0.000 0.000 0.000
3 Cu 0.500 0.500 0.500
4 La 0.000 0.000 0.500
5 La 0.500 0.000 0.000

Results
DFT formation energy	-0.245	eV/atom
theoretical density	6828	kg/m3
Fermi-level density of states	5.5	states/eV/f.u.
volume	147.4	Å³ per cell


Record 2
Below is La2CuGe4Ir3 after structural relaxation, with properties calculated at the PBE-GGA level.

Lattice parameters (Å, degrees): 4.347 4.347 10.116 90.00 90.00 90.00
Fractional positions:
1 La 0.500 0.000 0.244
2 La 0.000 0.500 0.756
3 Cu 0.500 0.500 0.500
4 Ge 0.500 0.500 0.000
5 Ge 0.000 0.000 0.000
6 Ge 0.500 0.000 0.629
7 Ge 0.000 0.500 0.371
8 Ir 0.000 0.000 0.500
9 Ir 0.500 0.000 0.874
10 Ir 0.000 0.500 0.126

Results
DFT formation energy	-0.710	eV/atom
theoretical density	10500	kg/m3
Fermi-level density of states	5.6	states/eV/f.u.
volume	191.1	Å³ per cell


Record 3
Below is La2CuGe3Ir4 after structural relaxation, with properties calculated at the PBE-GGA level.

Lattice parameters (Å, degrees): 4.238 4.238 10.467 90.00 90.00 90.00
Fractional positions:
1 La 0.500 0.000 0.256
2 La 0.000 0.500 0.744
3 Cu 0.500 0.500 0.500
4 Ge 0.000 0.000 0.500
5 Ge 0.500 0.000 0.871
6 Ge 0.000 0.500 0.129
7 Ir 0.500 0.500 0.000
8 Ir 0.000 0.000 0.000
9 Ir 0.500 0.000 0.634
10 Ir 0.000 0.500 0.366

Results
DFT formation energy	-0.704	eV/atom
theoretical density	11731	kg/m3
Fermi-level density of states	5.0	states/eV/f.u.
volume	188.0	Å³ per cell


Record 4
Below is Na2CuGe4Ir3 after structural relaxation, with properties calculated at the PBE-GGA level.

Lattice parameters (Å, degrees): 4.146 4.146 10.466 90.00 90.00 90.00
Fractional positions:
1 Na 0.500 0.000 0.254
2 Na 0.000 0.500 0.746
3 Cu 0.500 0.500 0.500
4 Ge 0.500 0.500 0.000
5 Ge 0.000 0.000 0.000
6 Ge 0.500 0.000 0.631
7 Ge 0.000 0.500 0.369
8 Ir 0.000 0.000 0.500
9 Ir 0.500 0.000 0.867
10 Ir 0.000 0.500 0.133

Results
DFT formation energy	-0.222	eV/atom
theoretical density	9018	kg/m3
Fermi-level density of states	3.6	states/eV/f.u.
volume	179.9	Å³ per cell


Record 5
Below is NdCuGe2Ir after structural relaxation, with properties calculated at the PBE-GGA level.

Lattice parameters (Å, degrees): 4.199 4.199 5.994 110.50 110.50 90.00
Fractional positions:
1 Nd 0.000 0.000 0.000
2 Cu 0.250 0.750 0.500
3 Ge 0.623 0.623 0.246
4 Ge 0.377 0.377 0.754
5 Ir 0.750 0.250 0.500

Results
DFT formation energy	-0.579	eV/atom
theoretical density	9865	kg/m3
Fermi-level density of states	2.9	states/eV/f.u.
volume	91.8	Å³ per cell


Record 6
Below is Nd2CuGe4Ir3 after structural relaxation, with properties calculated at the PBE-GGA level.

Lattice parameters (Å, degrees): 4.304 4.304 10.095 90.00 90.00 90.00
Fractional positions:
1 Nd 0.500 0.000 0.245
2 Nd 0.000 0.500 0.755
3 Cu 0.500 0.500 0.500
4 Ge 0.500 0.500 0.000
5 Ge 0.000 0.000 0.000
6 Ge 0.500 0.000 0.630
7 Ge 0.000 0.500 0.370
8 Ir 0.000 0.000 0.500
9 Ir 0.500 0.000 0.873
10 Ir 0.000 0.500 0.127

Results
DFT formation energy	-0.680	eV/atom
theoretical density	10826	kg/m3
Fermi-level density of states	5.2	states/eV/f.u.
volume	187.0	Å³ per cell


Question: What is the formula in the fifth record?
Answer: NdCuGe2Ir


What did the second record say?
Below is La2CuGe4Ir3 after structural relaxation, with properties calculated at the PBE-GGA level.

Lattice parameters (Å, degrees): 4.347 4.347 10.116 90.00 90.00 90.00
Fractional positions:
1 La 0.500 0.000 0.244
2 La 0.000 0.500 0.756
3 Cu 0.500 0.500 0.500
4 Ge 0.500 0.500 0.000
5 Ge 0.000 0.000 0.000
6 Ge 0.500 0.000 0.629
7 Ge 0.000 0.500 0.371
8 Ir 0.000 0.000 0.500
9 Ir 0.500 0.000 0.874
10 Ir 0.000 0.500 0.126

Results
DFT formation energy	-0.710	eV/atom
theoretical density	10500	kg/m3
Fermi-level density of states	5.6	states/eV/f.u.
volume	191.1	Å³ per cell


Question: Which value of DFT formation energy does entry 2 give?
Answer: -0.710 eV/atom